Computed, not measured: a relaxed structure of PaOsPt at the GGA-PBE level of DFT.

Geometry as CIF:
```
data_PaOsPt
_chemical_formula_sum 'Pa4 Os4 Pt4'
_cell_length_a 4.778
_cell_length_b 8.259
_cell_length_c 5.789
_cell_angle_alpha 90.00
_cell_angle_beta 90.00
_cell_angle_gamma 90.00
_symmetry_space_group_name_H-M 'C m c m'
_symmetry_Int_Tables_number 63
_symmetry_space_group_name_Hall '-C 2c 2'
loop_
_atom_site_label
_atom_site_fract_x
_atom_site_fract_y
_atom_site_fract_z
Pa1 0.000 0.167 0.250
Os1 0.000 0.500 0.000
Pt1 0.000 0.167 0.750
```

Summary:
Calculated formation energy, meV/atom: -513.8
Final energy, eV/atom: -9.44
Energy relative to the lowest polymorph listed for this composition, meV/atom: 7
N(E_F), states/eV per cell: 8.56

---

Computed, not measured: a relaxed structure of NaTi3Fe at the GGA-PBE level of DFT.

Geometry as CIF:
```
data_NaTi3Fe
_chemical_formula_sum 'Na1 Ti3 Fe1'
_cell_length_a 4.542
_cell_length_b 4.542
_cell_length_c 4.542
_cell_angle_alpha 90.00
_cell_angle_beta 90.00
_cell_angle_gamma 90.00
_symmetry_space_group_name_H-M 'P m -3 m'
_symmetry_Int_Tables_number 221
_symmetry_space_group_name_Hall '-P 4 2 3'
loop_
_atom_site_label
_atom_site_fract_x
_atom_site_fract_y
_atom_site_fract_z
Na1 0.000 0.000 0.000
Ti1 0.000 0.000 0.500
Fe1 0.500 0.500 0.500
```

Summary:
Calculated formation energy, meV/atom: 2056.1
Final energy, eV/atom: -4.64
Energy relative to the lowest polymorph listed for this composition, meV/atom: 1606
N(E_F), states/eV per cell: 11.66

---

Please write out number 2 again, unchanged.
Computed, not measured: a relaxed structure of NaTi3Fe at the GGA-PBE level of DFT.

Geometry as CIF:
```
data_NaTi3Fe
_chemical_formula_sum 'Na1 Ti3 Fe1'
_cell_length_a 4.542
_cell_length_b 4.542
_cell_length_c 4.542
_cell_angle_alpha 90.00
_cell_angle_beta 90.00
_cell_angle_gamma 90.00
_symmetry_space_group_name_H-M 'P m -3 m'
_symmetry_Int_Tables_number 221
_symmetry_space_group_name_Hall '-P 4 2 3'
loop_
_atom_site_label
_atom_site_fract_x
_atom_site_fract_y
_atom_site_fract_z
Na1 0.000 0.000 0.000
Ti1 0.000 0.000 0.500
Fe1 0.500 0.500 0.500
```

Summary:
Calculated formation energy, meV/atom: 2056.1
Final energy, eV/atom: -4.64
Energy relative to the lowest polymorph listed for this composition, meV/atom: 1606
N(E_F), states/eV per cell: 11.66

---

Q: What is the formula in the first record?
A: PaOsPt